1.
# Sr4GeTeI2, optimized geometry, DFT PBE
# - Final energy: -3.49 eV/atom
# - V: 39.523 Å³ per atom
# - Formation energy (no corrections): -1290 meV per atom
data_Sr4GeTeI2
_chemical_formula_sum 'Sr4 Ge1 Te1 I2'
_symmetry_space_group_name_H-M 'P 1 2/m 1'
_symmetry_Int_Tables_number 10
_symmetry_space_group_name_Hall '-P 2y'
_cell_length_a 8.3400
_cell_length_b 4.7596
_cell_length_c 8.4340
_cell_angle_alpha 90.00
_cell_angle_beta 109.19
_cell_angle_gamma 90.00
loop_
_atom_site_label
_atom_site_type_symbol
_atom_site_fract_x
_atom_site_fract_y
_atom_site_fract_z
Sr1 Sr 0.2152 0.0000 0.2031
Sr2 Sr 0.2386 0.5000 0.7938
Ge1 Ge 0.0000 0.5000 0.0000
Te1 Te 0.5000 0.0000 0.0000
I1 I 0.0000 0.0000 0.5000
I2 I 0.5000 0.5000 0.5000

2.
# Ac3Si5S12, optimized geometry, DFT PBE
# - Final energy: -5.49 eV/atom
# - V: 23.383 Å³ per atom
# - Formation energy (no corrections): -1042 meV per atom
data_Ac3Si5S12
_chemical_formula_sum 'Ac24 Si40 S96'
_symmetry_space_group_name_H-M 'I a -3 d'
_symmetry_Int_Tables_number 230
_symmetry_space_group_name_Hall '-I 4bd 2c 3'
_cell_length_a 15.5240
_cell_length_b 15.5240
_cell_length_c 15.5240
_cell_angle_alpha 90.00
_cell_angle_beta 90.00
_cell_angle_gamma 90.00
loop_
_atom_site_label
_atom_site_type_symbol
_atom_site_fract_x
_atom_site_fract_y
_atom_site_fract_z
Ac1 Ac 0.0000 0.2500 0.1250
Si1 Si 0.0000 0.0000 0.0000
Si2 Si 0.0000 0.2500 0.3750
S1 S 0.0375 0.0535 0.6544

3.
# Cs2Zn2Au, optimized geometry, DFT PBE
# - Final energy: -1.44 eV/atom
# - V: 33.376 Å³ per atom
# - ΔE to the lowest computed polymorph: 213 meV per atom
# - Energy of formation: 0.0703 eV/atom
data_Cs2Zn2Au
_chemical_formula_sum 'Cs4 Zn4 Au2'
_symmetry_space_group_name_H-M 'P 4/m b m'
_symmetry_Int_Tables_number 127
_symmetry_space_group_name_Hall '-P 4 2ab'
_cell_length_a 7.5522
_cell_length_b 7.5522
_cell_length_c 5.8518
_cell_angle_alpha 90.00
_cell_angle_beta 90.00
_cell_angle_gamma 90.00
loop_
_atom_site_label
_atom_site_type_symbol
_atom_site_fract_x
_atom_site_fract_y
_atom_site_fract_z
Cs1 Cs 0.1834 0.3166 0.0000
Zn1 Zn 0.1328 0.6328 0.5000
Au1 Au 0.0000 0.0000 0.5000